No. 1
A plane-wave DFT calculation with PBE-GGA was carried out for an optimized crystal structure of Sr2HgPbBr8.

Formation energy (no corrections), meV per atom: -1358
Crystal system: monoclinic
Total magnetization, μB/cell: 0.00
Space-group type: P2/m

POSCAR file:
```
Sr2HgPbBr8
1.0
6.843 0.000 0.000
0.000 9.139 0.000
-0.016 0.000 7.129
Sr Hg Pb Br
2 1 1 8
Cartesian
0.000 2.222 0.000
0.000 6.917 0.000
3.414 0.000 3.564
3.414 4.570 3.564
1.617 4.570 1.107
1.693 0.000 1.200
1.852 2.155 4.638
1.852 6.984 4.638
4.975 2.155 2.491
4.975 6.984 2.491
5.134 0.000 5.929
5.210 4.570 6.022
```

---

No. 2
A plane-wave DFT calculation with PBE-GGA was carried out for an optimized crystal structure of BeZn4Ni15.

Crystal system: tetragonal
Energy of formation from the pure elements, meV/atom: -115
Total magnetization, μB/cell: 6.20
Space-group type: P4/mmm

POSCAR file:
```
BeZn4Ni15
1.0
3.553 0.000 0.000
0.000 3.553 0.000
0.000 0.000 17.732
Be Zn Ni
1 4 15
Cartesian
0.000 0.000 0.000
0.000 0.000 3.440
0.000 0.000 7.058
0.000 0.000 10.674
0.000 0.000 14.291
0.000 1.777 1.622
0.000 1.777 5.250
0.000 1.777 8.866
0.000 1.777 12.482
0.000 1.777 16.110
1.777 0.000 1.622
1.777 0.000 5.250
1.777 0.000 8.866
1.777 0.000 12.482
1.777 0.000 16.110
1.777 1.777 0.000
1.777 1.777 3.446
1.777 1.777 7.061
1.777 1.777 10.671
1.777 1.777 14.286
```

---

No. 3
A plane-wave DFT calculation with PBE-GGA was carried out for an optimized crystal structure of UAgSeN.

Formation energy (no corrections), meV per atom: -909
Crystal system: trigonal
Total magnetization, μB/cell: 2.94
Space-group type: R-3m

POSCAR file:
```
UAgSeN
1.0
1.916 1.106 12.141
-1.916 1.106 12.141
0.000 -2.212 12.141
U Ag Se N
2 2 2 2
Cartesian
0.000 0.000 4.656
0.000 0.000 31.766
0.000 0.000 11.222
0.000 0.000 25.201
0.000 0.000 14.889
0.000 0.000 21.533
0.000 0.000 6.922
0.000 0.000 29.501
```

---

No. 4
A plane-wave DFT calculation with PBE-GGA was carried out for an optimized crystal structure of TlFeSn2.

Relative energy among the computed polymorphs, eV/atom: 0.4809
Crystal system: cubic
Energy of formation from the pure elements, meV/atom: 705
Total magnetization, μB/cell: 0.01
Space-group type: Fm-3m

POSCAR file:
```
TlFeSn2
1.0
0.000 3.545 3.545
3.545 0.000 3.545
3.545 3.545 0.000
Tl Fe Sn
1 1 2
Cartesian
0.000 0.000 0.000
3.545 3.545 3.545
1.773 1.773 1.773
5.318 5.318 5.318
```

---

The records above yield V values of 37.15 11.19 19.30 22.28 A^3/atom, respectively.
The records above yield total DFT energy (no corrections) values of -37.1 -97.8 -29.6 -16.0 eV/f.u., respectively.